The following is a DFT calculation (PBE-GGA) of an optimized crystal structure of P2BrF6.

Its density of states at the Fermi level is 0.009 states/eV per atom. The uncorrected energy comes out at -83.9 eV/cell. The formation energy without anion corrections comes out at -2.024 eV per atom.

a b c (Å): 6.7401 7.7946 9.0796
angles (deg): 105.87 108.28 104.07
Last column: nearest neighbours and their distance in Å.
Space group P-1 (No. 2)
Unique sites:
P 0.0259 0.1953 0.3572  3 F 1.60
P 0.2990 0.6531 0.1757  3 F 1.58-1.60
Br 0.0766 0.2839 0.9720  2 P 2.68-2.70
F 0.0053 0.7959 0.4735  1 P 1.60
F 0.1292 0.4212 0.4053  1 P 1.60
F 0.2267 0.8384 0.7544  1 P 1.60
F 0.3899 0.8631 0.3143  1 P 1.59
F 0.4003 0.7009 0.0509  1 P 1.58
F 0.4881 0.5889 0.2773  1 P 1.60